1.
# Zr3OsO

A relaxed Zr3OsO crystal (PBE, Alexandria via LeMat-Bulk).

Properties
Formation energy from raw total energies ... -1.112 eV/atom
Density ... 9.15 g/cm³
Volume ... 17.42 Å³/atom
Density of states at the Fermi level ... 2.87 states/eV/f.u.
SG ... Cmmm (65)
E_tot ... -9.479 eV/atom

```
Zr3OsO
1.0
-0.309 -2.223 2.427
7.395 -0.457 0.524
2.197 5.097 4.947
Zr Os O
6 2 2
Cartesian
6.348 -0.097 4.606
4.467 -1.863 2.750
3.673 1.235 3.235
0.057 -0.516 1.170
1.314 1.508 5.434
4.303 2.086 6.345
6.661 2.679 4.938
1.710 -0.751 3.416
2.963 2.908 4.676
5.562 0.131 2.465
```

2.
# Zr3OsO

A relaxed Zr3OsO crystal (PBE, Alexandria via LeMat-Bulk).

Properties
Formation energy from raw total energies ... -1.019 eV/atom
Density ... 9.27 g/cm³
Volume ... 17.19 Å³/atom
Density of states at the Fermi level ... 4.66 states/eV/f.u.
SG ... Pm-3m (221)
E_tot ... -9.386 eV/atom

```
Zr3OsO
1.0
-2.309 2.083 -3.131
-2.203 -3.727 -0.856
-3.048 1.115 2.990
O Zr Os
1 3 1
Cartesian
0.000 0.000 0.000
-1.101 -1.864 -0.428
-1.524 0.557 1.495
-1.155 1.042 -1.565
-3.780 -0.264 -0.498
```

3.
# ZrOs3O

A relaxed ZrOs3O crystal (PBE, Alexandria via LeMat-Bulk).

Properties
Formation energy from raw total energies ... 3.104 eV/atom
Density ... 9.55 g/cm³
Volume ... 23.58 Å³/atom
Density of states at the Fermi level ... 4.82 states/eV/f.u.
SG ... Pm-3m (221)
E_tot ... -6.335 eV/atom

```
ZrOs3O
1.0
-4.480 -0.766 1.840
1.980 -1.189 4.326
-0.230 4.695 1.396
O Os Zr
1 3 1
Cartesian
-1.365 1.370 3.781
-0.115 2.348 0.698
0.990 -0.595 2.163
-2.240 -0.383 0.920
0.000 0.000 0.000
```